Entry 1:
The following is a DFT calculation (GGA-PBE) of Pu2GaIr after structural relaxation.

formation enthalpy at 0 K	-0.393	eV/atom

abc: 3.741 3.741 5.901
angles: 90.00 90.00 90.00
Sites, in units of the cell vectors:
1 Ir 0.500 0.500 0.500
2 Ga 0.500 0.500 0.000
3 Pu 0.000 0.000 0.740
4 Pu 0.000 0.000 0.260


Entry 2:
The following is a DFT calculation (GGA-PBE) of Na3Sc2P3O12 after structural relaxation.

formation energy from raw total energies	-2.6563	eV/atom
ΔE to the lowest computed polymorph	0	meV/atom

abc: 8.987 8.987 9.223
angles: 61.58 61.58 60.22
Sites, in units of the cell vectors:
1 Na 0.959 0.663 0.560
2 Na 0.663 0.959 0.060
3 Na 0.397 0.619 0.233
4 Na 0.619 0.397 0.733
5 Na 0.096 0.247 0.323
6 Na 0.247 0.096 0.823
7 Sc 0.145 0.652 0.055
8 Sc 0.652 0.145 0.555
9 Sc 0.845 0.351 0.953
10 Sc 0.351 0.845 0.453
11 P 0.468 0.248 0.241
12 P 0.248 0.468 0.741
13 P 0.531 0.750 0.762
14 P 0.750 0.531 0.262
15 P 0.047 0.958 0.251
16 P 0.958 0.047 0.751
17 O 0.220 0.942 0.265
18 O 0.942 0.220 0.765
19 O 0.775 0.077 0.742
20 O 0.077 0.775 0.242
21 O 0.625 0.259 0.066
22 O 0.259 0.625 0.566
23 O 0.372 0.740 0.935
24 O 0.740 0.372 0.435
25 O 0.515 0.248 0.381
26 O 0.248 0.515 0.881
27 O 0.487 0.742 0.623
28 O 0.742 0.487 0.123
29 O 0.431 0.075 0.294
30 O 0.075 0.431 0.794
31 O 0.558 0.929 0.705
32 O 0.929 0.558 0.205
33 O 0.294 0.414 0.218
34 O 0.414 0.294 0.718
35 O 0.707 0.586 0.783
36 O 0.586 0.707 0.283
37 O 0.010 0.117 0.087
38 O 0.117 0.010 0.587
39 O 0.989 0.886 0.916
40 O 0.886 0.989 0.416


Entry 3:
The following is a DFT calculation (GGA-PBE) of TaSiF after structural relaxation.

formation energy from raw total energies	-1.0341	eV/atom
ΔE to the lowest computed polymorph	227	meV/atom

abc: 8.630 8.050 2.814
angles: 90.00 90.00 90.00
Sites, in units of the cell vectors:
1 Si 0.000 0.843 0.000
2 Si 0.000 0.157 0.000
3 Si 0.500 0.343 0.000
4 Si 0.500 0.657 0.000
5 F 0.309 0.000 0.500
6 F 0.691 0.000 0.500
7 F 0.809 0.500 0.500
8 F 0.191 0.500 0.500
9 Ta 0.250 0.250 0.500
10 Ta 0.250 0.750 0.500
11 Ta 0.750 0.250 0.500
12 Ta 0.750 0.750 0.500


Entry 4:
The following is a DFT calculation (GGA-PBE) of DyIn2Br8 after structural relaxation.

formation energy from raw total energies	-1.0682	eV/atom

abc: 7.035 8.558 8.558
angles: 75.57 80.14 80.14
Sites, in units of the cell vectors:
1 Dy 0.000 0.000 0.000
2 In 0.325 0.202 0.202
3 In 0.675 0.798 0.798
4 Br 0.792 0.097 0.730
5 Br 0.208 0.270 0.903
6 Br 0.719 0.186 0.186
7 Br 0.281 0.814 0.814
8 Br 0.792 0.730 0.097
9 Br 0.208 0.903 0.270
10 Br 0.153 0.387 0.387
11 Br 0.847 0.613 0.613


Entry 5:
The following is a DFT calculation (GGA-PBE) of K2CuW after structural relaxation.

ΔE to the lowest computed polymorph	513	meV/atom
formation enthalpy at 0 K	1.472	eV/atom

abc: 2.712 5.766 5.935
angles: 90.00 90.00 90.00
Sites, in units of the cell vectors:
1 Cu 0.500 0.500 0.750
2 K 0.000 0.000 0.996
3 K 0.000 0.000 0.504
4 W 0.500 0.500 0.250


Entry 6:
The following is a DFT calculation (GGA-PBE) of SmGa2Cu9 after structural relaxation.

ΔE to the lowest computed polymorph	166	meV/atom
formation enthalpy at 0 K	0.002	eV/atom

abc: 2.849 8.313 8.313
angles: 120.00 90.00 90.00
Sites, in units of the cell vectors:
1 Sm 0.000 0.000 0.000
2 Ga 0.000 0.667 0.333
3 Ga 0.000 0.333 0.667
4 Cu 0.500 0.815 0.185
5 Cu 0.000 0.000 0.500
6 Cu 0.000 0.500 0.500
7 Cu 0.500 0.815 0.630
8 Cu 0.500 0.185 0.815
9 Cu 0.500 0.630 0.815
10 Cu 0.500 0.185 0.370
11 Cu 0.000 0.500 0.000
12 Cu 0.500 0.370 0.185


Entry 7:
The following is a DFT calculation (GGA-PBE) of Mg2Cd6Pb after structural relaxation.

formation enthalpy at 0 K	-0.028	eV/atom

abc: 3.450 8.693 8.693
angles: 58.29 78.55 78.55
Sites, in units of the cell vectors:
1 Mg 0.355 0.145 0.145
2 Mg 0.645 0.855 0.855
3 Cd 0.177 0.498 0.148
4 Cd 0.823 0.502 0.852
5 Cd 0.823 0.852 0.502
6 Cd 0.000 0.170 0.830
7 Cd 0.000 0.830 0.170
8 Cd 0.177 0.148 0.498
9 Pb 0.500 0.500 0.500


Entry 8:
The following is a DFT calculation (GGA-PBE) of K3HgW after structural relaxation.

ΔE to the lowest computed polymorph	0	meV/atom
formation enthalpy at 0 K	1.289	eV/atom

abc: 6.829 6.829 6.829
angles: 90.00 90.00 90.00
Sites, in units of the cell vectors:
1 K 0.000 0.500 0.000
2 K 0.000 0.000 0.500
3 K 0.500 0.000 0.000
4 Hg 0.500 0.500 0.500
5 W 0.000 0.000 0.000


| no. | VASP energy (eV/f.u.) |
| --- | --- |
| 1 | -42.1 |
| 2 | -145.5 |
| 3 | -22.2 |
| 4 | -35.2 |
| 5 | -13.4 |
| 6 | -47.6 |
| 7 | -12.6 |
| 8 | -10.1 |